A | VASP calculation (PBE) on a relaxed structure of KMn3Si.

```
KMn3Si
1.0
-3.203 -2.291 2.693
2.845 -3.827 0.128
2.099 1.693 3.935
Mn Si K
3 1 1
direct
0.000 0.500 0.000
0.500 0.000 0.000
0.000 0.000 0.500
0.500 0.500 0.500
0.000 0.000 0.000
```

Values from the calculation:
- Volume: 108.6 Å³ per cell
- Size of the total moment: 11.7 μB per formula unit
- SG: No. 221
- D(E_F): 2.7 states/eV per cell

---

B | VASP calculation (PBE) on a relaxed structure of KMn3Si.

```
KMn3Si
1.0
-2.205 3.064 3.023
1.198 -2.825 3.738
4.134 2.453 0.529
Mn Si K
3 1 1
direct
0.500 0.000 0.000
0.000 0.500 0.000
0.000 0.000 0.500
0.000 0.000 0.000
0.500 0.500 0.500
```

Values from the calculation:
- Volume: 113.1 Å³ per cell
- Size of the total moment: 11.9 μB per formula unit
- SG: No. 221
- D(E_F): 7.6 states/eV per cell

---

It turns out B is the most stable, with the second structure 149.2 kJ/mol of atoms higher.

---

A | VASP calculation (PBE) on a relaxed structure of KMn2Sn.

```
KMn2Sn
1.0
0.000 3.559 3.559
3.559 0.000 3.559
3.559 3.559 0.000
Mn K Sn
2 1 1
direct
0.250 0.250 0.250
0.750 0.750 0.750
0.000 0.000 0.000
0.500 0.500 0.500
```

Values from the calculation:
- Volume: 90.2 Å³ per cell
- Size of the total moment: 8.6 μB per formula unit
- SG: No. 225
- D(E_F): 5.8 states/eV per cell

---

B | VASP calculation (PBE) on a relaxed structure of KMn2Sn.

```
KMn2Sn
1.0
6.306 0.000 0.000
0.000 6.306 0.000
3.153 3.153 9.446
Mn Sn K
4 2 2
direct
0.875 0.125 0.750
0.875 0.625 0.250
0.375 0.125 0.750
0.875 0.125 0.250
0.000 0.000 0.000
0.750 0.250 0.500
0.500 0.500 0.000
0.250 0.750 0.500
```

Values from the calculation:
- Volume: 375.6 Å³ per cell
- Size of the total moment: 9.0 μB per formula unit
- SG: No. 141
- D(E_F): 2.4 states/eV per cell

---

It turns out A is the most stable, with the second structure 13.9 kJ/mol of atoms higher.

---

A | VASP calculation (PBE) on a relaxed structure of KMnSn3.

```
KMnSn3
1.0
-3.725 1.212 -3.191
-0.312 -4.825 -1.467
-3.399 -0.884 3.632
Sn Mn K
3 1 1
direct
0.000 0.500 0.000
0.000 0.000 0.500
0.500 0.000 0.000
0.000 0.000 0.000
0.500 0.500 0.500
```

Values from the calculation:
- Volume: 129.0 Å³ per cell
- Size of the total moment: 0.0 μB per formula unit
- SG: No. 221
- D(E_F): 10.4 states/eV per cell

---

B | VASP calculation (PBE) on a relaxed structure of KMnSn3.

```
KMnSn3
1.0
-0.473 -4.658 3.606
3.914 2.456 3.685
-4.403 2.683 2.888
K Sn Mn
1 3 1
direct
0.000 0.000 0.000
0.000 0.000 0.500
0.500 0.000 0.000
0.000 0.500 0.000
0.500 0.500 0.500
```

Values from the calculation:
- Volume: 206.4 Å³ per cell
- Size of the total moment: 4.6 μB per formula unit
- SG: No. 221
- D(E_F): 5.3 states/eV per cell

---

It turns out A is the most stable, with the second structure 130.0 kJ/mol of atoms higher.

---

A | VASP calculation (PBE) on a relaxed structure of KSrMn2.

```
KSrMn2
1.0
-1.506 -2.908 2.266
4.153 -1.050 1.413
-0.773 5.160 6.108
K Sr Mn
1 1 2
direct
0.500 0.500 0.750
0.500 0.500 0.250
0.000 0.000 0.419
0.000 0.000 0.081
```

Values from the calculation:
- Volume: 144.3 Å³ per cell
- Size of the total moment: 8.0 μB per formula unit
- SG: No. 47
- D(E_F): 4.9 states/eV per cell

---

B | VASP calculation (PBE) on a relaxed structure of KSrMn2.

```
KSrMn2
1.0
-1.098 3.345 0.970
-1.836 0.308 -3.141
-7.962 -3.855 4.277
Sr K Mn
1 1 2
direct
0.000 0.000 0.412
0.500 0.500 0.811
0.500 0.500 0.193
0.000 0.000 0.084
```

Values from the calculation:
- Volume: 131.0 Å³ per cell
- Size of the total moment: 8.0 μB per formula unit
- SG: No. 99
- D(E_F): 4.0 states/eV per cell

---

C | VASP calculation (PBE) on a relaxed structure of KSrMn2.

```
KSrMn2
1.0
9.026 -0.033 -0.080
-3.670 4.486 0.065
1.687 1.323 3.199
Mn K Sr
2 1 1
direct
0.500 0.000 0.500
0.000 0.000 0.000
0.500 0.500 0.000
0.000 0.500 0.500
```

Values from the calculation:
- Volume: 129.4 Å³ per cell
- Size of the total moment: 8.2 μB per formula unit
- SG: No. 12
- D(E_F): 5.4 states/eV per cell

---

It turns out B is the most stable, with the second structure 14.5 kJ/mol of atoms higher.

---

A | VASP calculation (PBE) on a relaxed structure of K2SrMn.

```
K2SrMn
1.0
-6.821 2.588 3.168
1.215 -1.373 -7.740
-2.670 -3.023 -0.869
Mn Sr K
1 1 2
direct
0.500 0.000 0.500
0.000 0.500 0.500
0.000 0.000 0.000
0.500 0.500 0.000
```

Values from the calculation:
- Volume: 184.4 Å³ per cell
- Size of the total moment: 4.2 μB per formula unit
- SG: No. 12
- D(E_F): 4.6 states/eV per cell

---

B | VASP calculation (PBE) on a relaxed structure of K2SrMn.

```
K2SrMn
1.0
-5.447 -5.688 -6.827
0.361 -8.693 -5.738
0.529 5.899 8.576
Sr K Mn
1 2 1
direct
0.250 0.750 0.500
0.586 0.586 0.000
0.914 0.914 0.000
0.750 0.250 0.500
```

Values from the calculation:
- Volume: 210.7 Å³ per cell
- Size of the total moment: 4.0 μB per formula unit
- SG: No. 71
- D(E_F): 4.7 states/eV per cell

---

C | VASP calculation (PBE) on a relaxed structure of K2SrMn.

```
K2SrMn
1.0
-1.292 2.833 2.731
-4.886 1.034 -3.384
-3.784 -5.402 3.813
K Mn Sr
2 1 1
direct
0.000 0.000 0.474
0.000 0.000 0.026
0.500 0.500 0.250
0.500 0.500 0.750
```

Values from the calculation:
- Volume: 190.3 Å³ per cell
- Size of the total moment: 4.4 μB per formula unit
- SG: No. 47
- D(E_F): 4.2 states/eV per cell

---

It turns out B is the most stable, with the second structure 11.1 kJ/mol of atoms higher.

---

A | VASP calculation (PBE) on a relaxed structure of K2SrMn.

```
K2SrMn
1.0
6.370 0.000 0.000
0.109 6.369 0.000
-3.239 -3.185 4.466
K Mn Sr
2 1 1
direct
0.000 0.000 0.000
0.250 0.750 0.500
0.500 0.500 0.000
0.750 0.250 0.500
```

Values from the calculation:
- Volume: 181.2 Å³ per cell
- Size of the total moment: 4.3 μB per formula unit
- SG: No. 119
- D(E_F): 4.5 states/eV per cell

---

B | VASP calculation (PBE) on a relaxed structure of K2SrMn.

```
K2SrMn
1.0
13.645 0.025 0.015
13.012 4.107 0.015
13.012 2.017 3.577
Sr Mn K
1 1 2
direct
0.750 0.750 0.750
0.250 0.250 0.250
0.987 0.987 0.987
0.513 0.513 0.513
```

Values from the calculation:
- Volume: 198.4 Å³ per cell
- Size of the total moment: 4.4 μB per formula unit
- SG: No. 166
- D(E_F): 3.5 states/eV per cell

---

It turns out A is the most stable, with the second structure 5.0 kJ/mol of atoms higher.